# 1
BaNa2SnPd: optimized geometry, PBE.

The structure in extended XYZ format:
```
5
Lattice="5.4796 0.0000 0.0000 0.0000 5.4796 0.0000 0.0000 0.0000 5.2147" Properties=species:S:1:pos:R:3 pbc="T T T"
Ba 0.0000 0.0000 0.0000
Na 0.0000 2.7398 2.6074
Na 2.7398 0.0000 2.6074
Sn 2.7398 2.7398 0.0000
Pd 2.7398 2.7398 2.6074
```

Values from the calculation:
**Symmetry**: P4/mmm, No. 123
**Formation energy from the elements**: -0.27 eV per atom

***

# 2
LiHo2HfS4: optimized geometry, PBE.

The structure in extended XYZ format:
```
8
Lattice="6.4320 0.0000 0.0000 0.0000 3.7774 0.0000 -2.1763 0.0000 6.2356" Properties=species:S:1:pos:R:3 pbc="T T T"
Li 0.0000 0.0000 0.0000
Ho 2.1278 0.0000 3.1178
Ho 3.2160 1.8887 0.0000
Hf -1.0882 1.8887 3.1178
S -0.1430 0.0000 4.6617
S 0.9649 1.8887 1.5290
S 3.2908 1.8887 4.7066
S 4.3986 0.0000 1.5739
```

Values from the calculation:
**Symmetry**: P2/m, No. 10
**Uncorrected formation energy**: -1.723 eV/atom

***

# 3
RbCd3Rh: optimized geometry, PBE.

The structure in extended XYZ format:
```
5
Lattice="6.4322 0.0000 0.0000 0.0000 6.4322 0.0000 0.0000 0.0000 6.4322" Properties=species:S:1:pos:R:3 pbc="T T T"
Rb 0.0000 0.0000 0.0000
Cd 0.0000 0.0000 3.2161
Cd 0.0000 3.2161 0.0000
Cd 3.2161 0.0000 0.0000
Rh 3.2161 3.2161 3.2161
```

Values from the calculation:
**Symmetry**: Pm-3m, No. 221
**Formation energy from the elements**: 1.46 eV per atom

***

# 4
Li5GaI6: optimized geometry, PBE.

The structure in extended XYZ format:
```
12
Lattice="3.7659 -6.5342 0.0000 3.7659 6.5342 0.0000 -2.5059 0.0000 7.0838" Properties=species:S:1:pos:R:3 pbc="T T T"
Li 0.0000 0.0000 0.0000
Li 2.5130 4.2986 3.5419
Li 3.7659 2.1396 0.0000
Li 3.7659 -2.1396 0.0000
Li 2.5130 -4.2986 3.5419
Ga 2.5130 0.0000 3.5419
I 1.1713 2.2957 1.7326
I -0.1150 0.0000 5.4217
I 1.1713 -2.2957 1.7326
I 3.8547 2.2957 5.3511
I 5.1410 0.0000 1.6620
I 3.8547 -2.2957 5.3511
```

Values from the calculation:
**Symmetry**: C2/m, No. 12
**Uncorrected formation energy**: -1.027 eV/atom

***

# 5
Pr5YHo: optimized geometry, PBE.

The structure in extended XYZ format:
```
14
Lattice="8.3495 -3.3633 0.0000 8.3495 3.3633 0.0000 -6.5133 0.0000 8.8722" Properties=species:S:1:pos:R:3 pbc="T T T"
Pr 3.4646 3.2885 6.6542
Pr -0.4541 1.6698 8.0791
Pr 4.1746 1.6745 3.6012
Pr 9.2678 1.6745 0.8349
Pr 7.3833 1.6698 5.2292
Pr 2.8025 -1.6698 3.6430
Pr 0.9179 -1.6745 8.0374
Pr 6.0112 -1.6745 5.2710
Pr 10.6399 -1.6698 0.7931
Pr 6.7212 -3.2885 2.2181
Y 3.4646 0.0861 6.6542
Y 6.7212 -0.0861 2.2181
Ho 0.9181 1.6816 4.4361
Ho 4.1748 -1.6816 0.0000
```

Values from the calculation:
**Symmetry**: C2/c, No. 15
**Formation energy from the elements**: 0.15 eV per atom

***

# 6
YErFe4: optimized geometry, PBE.

The structure in extended XYZ format:
```
6
Lattice="0.0000 3.6226 3.6226 3.6226 0.0000 3.6226 3.6226 3.6226 0.0000" Properties=species:S:1:pos:R:3 pbc="T T T"
Y 0.0000 0.0000 0.0000
Er 5.4339 5.4339 5.4339
Fe 2.7185 2.7185 2.7185
Fe 4.5267 4.5267 2.7185
Fe 4.5267 2.7185 4.5267
Fe 2.7185 4.5267 4.5267
```

Values from the calculation:
**Symmetry**: F-43m, No. 216
**Formation energy from the elements**: -0.09 eV per atom

***

# 7
LiZrAg: optimized geometry, PBE.

The structure in extended XYZ format:
```
3
Lattice="0.0000 3.2139 3.2139 3.2139 0.0000 3.2139 3.2139 3.2139 0.0000" Properties=species:S:1:pos:R:3 pbc="T T T"
Li 0.0000 0.0000 0.0000
Zr 3.2139 3.2139 3.2139
Ag 1.6070 1.6070 1.6070
```

Values from the calculation:
**Symmetry**: F-43m, No. 216
**Formation energy from the elements**: 0.41 eV per atom

***

# 8
Pr8NdHo2: optimized geometry, PBE.

The structure in extended XYZ format:
```
11
Lattice="8.5800 -3.4292 0.0000 8.5800 3.4292 0.0000 -1.1431 0.0000 6.6638" Properties=species:S:1:pos:R:3 pbc="T T T"
Pr 0.5890 0.0000 6.1091
Pr 6.3998 1.7905 3.9300
Pr 3.5995 0.0000 4.5290
Pr 9.6171 1.7905 2.7337
Pr 6.3998 -1.7905 3.9300
Pr 12.4174 0.0000 2.1348
Pr 9.6171 -1.7905 2.7337
Pr 15.4279 0.0000 0.5546
Nd 8.5800 0.0000 0.0000
Ho 4.9459 0.0000 1.2733
Ho 11.0710 0.0000 5.3905
```

Values from the calculation:
**Symmetry**: C2/m, No. 12
**Formation energy from the elements**: 0.16 eV per atom

***

# 9
CaTaSb2: optimized geometry, PBE.

The structure in extended XYZ format:
```
4
Lattice="3.5046 0.0000 0.0000 0.0000 3.5149 0.0000 -0.0385 0.0000 7.7419" Properties=species:S:1:pos:R:3 pbc="T T T"
Ca 0.0000 0.0000 0.0000
Ta -0.0192 0.0000 3.8709
Sb 1.7370 1.7574 2.2370
Sb 1.7291 1.7574 5.5049
```

Values from the calculation:
**Symmetry**: P2/m, No. 10
**Uncorrected formation energy**: -0.281 eV/atom

***

# 10
FeOsPt2: optimized geometry, PBE.

The structure in extended XYZ format:
```
4
Lattice="1.3651 0.7881 8.9351 -1.3651 0.7881 8.9351 0.0000 -1.5763 8.9351" Properties=species:S:1:pos:R:3 pbc="T T T"
Fe 0.0000 0.0000 0.0000
Os 0.0000 0.0000 6.9208
Pt 0.0000 0.0000 13.5224
Pt 0.0000 0.0000 20.0080
```

Values from the calculation:
**Symmetry**: R3m, No. 160
**Formation energy from the elements**: -0.03 eV per atom

***

# 11
DyTm3Ni2: optimized geometry, PBE.

The structure in extended XYZ format:
```
12
Lattice="7.9194 -1.9282 0.0000 7.9194 1.9282 0.0000 -6.1649 0.0000 9.3698" Properties=species:S:1:pos:R:3 pbc="T T T"
Dy 0.9168 0.0000 2.2917
Dy 8.7571 0.0000 7.0781
Tm -2.1588 0.0000 6.9879
Tm 6.2293 0.0000 0.5702
Tm 3.1767 0.0000 5.2305
Tm 6.4972 0.0000 4.1393
Tm 3.4446 0.0000 8.7996
Tm 11.8327 0.0000 2.3819
Ni 3.3517 0.0000 0.4760
Ni 0.2625 0.0000 5.1650
Ni 9.4114 0.0000 4.2048
Ni 6.3222 0.0000 8.8938
```

Values from the calculation:
**Symmetry**: C2/m, No. 12
**Formation energy from the elements**: -0.32 eV per atom

***

# 12
RePbW2: optimized geometry, PBE.

The structure in extended XYZ format:
```
4
Lattice="0.0000 3.2640 3.2640 3.2640 0.0000 3.2640 3.2640 3.2640 0.0000" Properties=species:S:1:pos:R:3 pbc="T T T"
Re 0.0000 0.0000 0.0000
Pb 4.8959 4.8959 4.8959
W 1.6320 1.6320 1.6320
W 3.2640 3.2640 3.2640
```

Values from the calculation:
**Symmetry**: F-43m, No. 216
**Formation energy from the elements**: 0.89 eV per atom

***

# 13
DyPaTe4: optimized geometry, PBE.

The structure in extended XYZ format:
```
6
Lattice="5.0513 -5.1385 0.0000 5.0513 5.1385 0.0000 0.0000 0.0000 4.4946" Properties=species:S:1:pos:R:3 pbc="T T T"
Dy 0.0000 0.0000 0.0000
Pa 5.0513 0.0000 2.2473
Te 2.0660 0.0000 2.2473
Te 5.0513 2.0122 0.0000
Te 5.0513 -2.0122 0.0000
Te 8.0367 0.0000 2.2473
```

Values from the calculation:
**Symmetry**: Cmmm, No. 65
**Uncorrected formation energy**: -0.922 eV/atom

***

# 14
GaTc2P2: optimized geometry, PBE.

The structure in extended XYZ format:
```
5
Lattice="-1.7652 1.7652 5.9546 1.7652 -1.7652 5.9546 1.7652 1.7652 -5.9546" Properties=species:S:1:pos:R:3 pbc="T T T"
Ga 0.0000 0.0000 0.0000
Tc 0.0000 0.0000 4.5431
Tc 0.0000 0.0000 7.3661
P 1.7652 0.0000 2.9773
P 0.0000 1.7652 2.9773
```

Values from the calculation:
**Symmetry**: I4/mmm, No. 139
**Formation energy from the elements**: -0.23 eV per atom

***

# 15
LiTh2Zn3: optimized geometry, PBE.

The structure in extended XYZ format:
```
12
Lattice="0.0000 4.6861 8.1187 3.4039 0.0000 8.1187 3.4039 4.6861 0.0000" Properties=species:S:1:pos:R:3 pbc="T T T"
Li 3.4039 4.6861 2.7209
Li 3.4039 4.6861 13.5165
Th 5.1199 4.6861 8.1187
Th 1.7019 2.3430 4.0594
Th 5.1058 7.0291 12.1781
Th 1.6879 4.6861 8.1187
Zn 3.4039 2.3446 6.7607
Zn 3.4039 4.6861 5.4212
Zn 3.4039 2.3446 9.4768
Zn 3.4039 7.0275 6.7607
Zn 3.4039 4.6861 10.8163
Zn 3.4039 7.0275 9.4768
```

Values from the calculation:
**Symmetry**: Fmmm, No. 69
**Formation energy from the elements**: -0.16 eV per atom

***

# 16
ZrTcBPb2: optimized geometry, PBE.

The structure in extended XYZ format:
```
5
Lattice="5.6974 0.0000 0.0000 0.0000 5.6974 0.0000 0.0000 0.0000 4.8030" Properties=species:S:1:pos:R:3 pbc="T T T"
Zr 0.0000 0.0000 0.0000
Tc 0.0000 0.0000 2.4015
B 2.8487 2.8487 2.4015
Pb 0.0000 2.8487 0.0000
Pb 2.8487 0.0000 0.0000
```

Values from the calculation:
**Symmetry**: P4/mmm, No. 123
**Formation energy from the elements**: 1.86 eV per atom

***

# 17
Ac7Tl2Cu2: optimized geometry, PBE.

The structure in extended XYZ format:
```
11
Lattice="4.3285 -6.1644 0.0000 4.3285 6.1644 0.0000 0.0000 0.0000 7.7596" Properties=species:S:1:pos:R:3 pbc="T T T"
Ac 0.0000 0.0000 0.0000
Ac 2.1643 3.0822 2.0031
Ac 2.1643 3.0822 5.7564
Ac 2.1643 -3.0822 2.0031
Ac 2.1643 -3.0822 5.7564
Ac 4.3285 0.0000 1.8381
Ac 4.3285 0.0000 5.9215
Tl 1.4925 0.0000 3.8798
Tl 7.1645 0.0000 3.8798
Cu 4.3285 2.5526 0.0000
Cu 4.3285 -2.5526 0.0000
```

Values from the calculation:
**Symmetry**: Cmmm, No. 65
**Formation energy from the elements**: -0.03 eV per atom

***

# 18
YGa4Pd2Rh: optimized geometry, PBE.

The structure in extended XYZ format:
```
8
Lattice="2.1390 1.2349 8.6719 -2.1390 1.2349 8.6719 0.0000 -2.4699 8.6719" Properties=species:S:1:pos:R:3 pbc="T T T"
Y 0.0000 0.0000 0.0000
Ga 0.0000 0.0000 3.4513
Ga 0.0000 0.0000 10.3650
Ga 0.0000 0.0000 15.6506
Ga 0.0000 0.0000 22.5643
Pd 0.0000 0.0000 6.1953
Pd 0.0000 0.0000 19.8203
Rh 0.0000 0.0000 13.0078
```

Values from the calculation:
**Symmetry**: R-3m, No. 166
**Formation energy from the elements**: -0.66 eV per atom

***

# 19
ZnIn2Pd8: optimized geometry, PBE.

The structure in extended XYZ format:
```
11
Lattice="-2.0306 3.8573 5.9267 2.0306 -3.8573 5.9267 2.0306 3.8573 -5.9267" Properties=species:S:1:pos:R:3 pbc="T T T"
Zn 0.0000 0.0000 0.0000
In 0.0000 0.0000 4.0083
In 0.0000 0.0000 7.8451
Pd 2.0306 -1.9281 4.0064
Pd 2.0306 0.0000 1.9761
Pd 2.0306 1.8883 0.0000
Pd 0.0000 1.9292 1.9203
Pd 2.0306 1.9281 4.0064
Pd 0.0000 1.9690 5.9267
Pd 0.0000 3.8573 3.9506
Pd 0.0000 5.7854 1.9203
```

Values from the calculation:
**Symmetry**: Immm, No. 71
**Formation energy from the elements**: -0.36 eV per atom

***

# 20
LiInPbCl4: optimized geometry, PBE.

The structure in extended XYZ format:
```
14
Lattice="6.9509 0.0000 0.0000 0.0000 7.1013 0.0000 -2.7025 0.0000 8.2091" Properties=species:S:1:pos:R:3 pbc="T T T"
Li 0.7844 1.7753 2.5577
Li 3.4640 5.3260 5.6514
In 1.7423 5.3260 0.5391
In 2.5061 1.7753 7.6701
Pb 0.0185 5.3260 4.5147
Pb 4.2299 1.7753 3.6944
Cl -0.7386 0.0040 2.2912
Cl -0.7386 3.5466 2.2912
Cl 2.6876 1.7753 1.1940
Cl 1.5524 1.7753 4.7914
Cl 2.6960 5.3260 3.4177
Cl 1.5608 5.3260 7.0151
Cl 4.9869 3.5547 5.9179
Cl 4.9869 7.0973 5.9179
```

Values from the calculation:
**Symmetry**: P2_1/m, No. 11
**Uncorrected formation energy**: -1.223 eV/atom

***

# 21
Y2Mn2Cr: optimized geometry, PBE.

The structure in extended XYZ format:
```
10
Lattice="6.5649 0.0000 0.0000 0.0000 6.5649 0.0000 0.0000 0.0000 4.6992" Properties=species:S:1:pos:R:3 pbc="T T T"
Y 1.1290 2.1534 0.0000
Y 2.1534 5.4359 0.0000
Y 4.4115 1.1290 0.0000
Y 5.4359 4.4115 0.0000
Mn 0.9271 4.2096 2.3496
Mn 2.3554 0.9271 2.3496
Mn 4.2096 5.6378 2.3496
Mn 5.6378 2.3554 2.3496
Cr 0.0000 0.0000 2.3496
Cr 3.2825 3.2825 2.3496
```

Values from the calculation:
**Symmetry**: P4/mbm, No. 127
**Formation energy from the elements**: 0.23 eV per atom

***

# 22
CaDyMgPd: optimized geometry, PBE.

The structure in extended XYZ format:
```
4
Lattice="0.0000 3.6520 3.6520 3.6520 0.0000 3.6520 3.6520 3.6520 0.0000" Properties=species:S:1:pos:R:3 pbc="T T T"
Ca 0.0000 0.0000 0.0000
Dy 3.6520 3.6520 3.6520
Mg 5.4780 5.4780 5.4780
Pd 1.8260 1.8260 1.8260
```

Values from the calculation:
**Symmetry**: F-43m, No. 216
**Formation energy from the elements**: -0.34 eV per atom

***

# 23
K2YBr6: optimized geometry, PBE.

The structure in extended XYZ format:
```
9
Lattice="4.5002 0.0000 0.0000 0.0000 7.4252 4.2753 0.0000 -7.4252 4.2753" Properties=species:S:1:pos:R:3 pbc="T T T"
K 0.0000 -4.9437 4.2753
K 0.0000 4.9437 4.2753
Y 2.2501 0.0000 4.2836
Br 0.0000 -1.7483 3.2699
Br 0.0000 1.7483 3.2699
Br 0.0000 0.0000 6.3019
Br 2.2501 0.0000 1.2387
Br 2.2501 -2.6438 5.8009
Br 2.2501 2.6438 5.8009
```

Values from the calculation:
**Symmetry**: Amm2, No. 38
**Uncorrected formation energy**: -1.489 eV/atom

***

# 24
Zr4ZnRh: optimized geometry, PBE.

The structure in extended XYZ format:
```
6
Lattice="4.5460 0.0000 0.0000 0.0000 4.5460 0.0000 0.0000 0.0000 6.4994" Properties=species:S:1:pos:R:3 pbc="T T T"
Zr 0.0000 2.2730 1.5978
Zr 0.0000 2.2730 4.9016
Zr 2.2730 0.0000 1.5978
Zr 2.2730 0.0000 4.9016
Zn 0.0000 0.0000 3.2497
Rh 2.2730 2.2730 0.0000
```

Values from the calculation:
**Symmetry**: P4/mmm, No. 123
**Formation energy from the elements**: -0.07 eV per atom

***

# 25
Pu2CuSb4Pd3: optimized geometry, PBE.

The structure in extended XYZ format:
```
10
Lattice="4.5416 0.0000 0.0000 0.0000 4.5416 0.0000 0.0000 0.0000 10.9222" Properties=species:S:1:pos:R:3 pbc="T T T"
Pu 0.0000 2.2708 2.5936
Pu 2.2708 0.0000 8.3286
Cu 2.2708 2.2708 0.0000
Sb 0.0000 0.0000 5.4611
Sb 0.0000 2.2708 9.5054
Sb 2.2708 0.0000 1.4168
Sb 2.2708 2.2708 5.4611
Pd 0.0000 0.0000 0.0000
Pd 0.0000 2.2708 6.9225
Pd 2.2708 0.0000 3.9997
```

Values from the calculation:
**Symmetry**: P-4m2, No. 115
**Uncorrected formation energy**: -0.482 eV/atom

***

These records have total energy values of -3.02 -6.41 -0.75 -2.85 -4.84 -7.57 -4.03 -4.58 -5.81 -7.97 -5.25 -9.62 -5.37 -7.15 -3.59 -4.75 -3.82 -5.20 -4.75 -3.47 -7.94 -3.69 -3.57 -7.20 -6.96 eV/atom, in the order they appear.
These records have D(E_F) values of 2.8 3.0 16.7 0.0 20.4 8.4 3.8 18.3 2.2 3.4 12.6 2.7 0.9 2.0 10.9 4.2 13.1 5.3 7.3 0.0 8.4 3.7 10.0 5.7 31.3 states/eV per cell, in the order they appear.
These records have ρ values of 4.3 7.1 3.3 4.1 6.4 8.4 5.2 6.8 8.1 18.3 9.1 18.2 6.4 7.3 8.6 6.5 8.5 8.3 10.3 3.9 5.6 5.7 3.8 6.6 10.0 g cm⁻³, in the order they appear.